[1]
Compound: Y2Hf4Sb3C3
Source: OQMD
Functional: GGA-PBE
Structure: relaxed

The structure in POSCAR format:
```
Y2Hf4Sb3C3
1.0
5.2166 -3.0165 0.0000
5.2166 3.0165 0.0000
-3.5131 0.0000 14.3585
Sb Hf Y C
6 8 4 6
Cartesian
2.3774 0.6243 3.5698
2.5818 2.7627 10.7689
4.5428 -0.6243 10.7887
6.2993 0.6243 3.6095
4.3384 -2.7627 3.5896
0.6208 -0.6243 10.7490
6.0500 0.5413 13.1978
-0.8749 0.4809 13.1980
-0.8864 0.5413 8.3400
0.8702 -0.5413 1.1607
7.8065 -0.5413 6.0185
0.8817 -0.4809 6.0187
7.7950 -0.4809 1.1605
6.0385 0.4809 8.3398
4.3812 -0.4838 1.3962
2.6246 0.4838 8.5755
4.2955 -0.4838 5.7830
2.5390 0.4838 12.9623
4.2968 1.5935 0.0000
2.5402 -1.5935 7.1793
6.1365 -1.5935 0.0000
4.3799 1.5935 7.1792
2.6083 -1.5082 0.0000
0.8518 1.5082 7.1792
```

Summary:
Energy in eV/cell: -202.8

---

[2]
Compound: Y4Hf2Sb3C3
Source: OQMD
Functional: GGA-PBE
Structure: relaxed

The structure in POSCAR format:
```
Y4Hf2Sb3C3
1.0
5.3570 -3.1059 0.0000
5.3570 3.1059 0.0000
-3.6709 0.0000 14.6548
Y Sb Hf C
8 6 4 6
Cartesian
-1.0169 0.5374 13.2915
0.8185 -0.5374 5.9641
8.0601 -0.5374 1.3633
6.2246 0.5374 8.6906
7.9867 -0.4887 5.9642
6.1513 0.4887 13.2916
0.8918 -0.4887 1.3631
-0.9436 0.4887 8.6905
0.9763 -0.4185 11.0167
2.6038 2.3948 10.9911
4.4393 -2.3948 3.6637
4.2313 -0.4185 10.9655
6.0668 0.4185 3.6381
2.8118 0.4185 3.6893
4.4376 -0.5311 1.1465
2.6055 0.5311 13.5082
2.6022 0.5311 8.4739
4.4409 -0.5311 6.1808
2.7108 -1.4124 7.3274
6.1677 -1.4124 0.0000
4.5462 1.4124 0.0000
2.6785 -1.5529 0.0000
0.8431 1.5530 7.3274
4.3323 1.4124 7.3274
```

Summary:
Energy in eV/cell: -188.4

---

[3]
Compound: HfZrSbC
Source: OQMD
Functional: GGA-PBE
Structure: relaxed

The structure in POSCAR format:
```
HfZrSbC
1.0
3.4308 0.0000 0.0000
-1.7154 2.9711 0.0000
0.0000 0.0000 13.9714
Hf C Sb Zr
2 2 2 2
Cartesian
1.7154 0.9904 1.1959
0.0000 1.9808 12.7754
0.0000 0.0000 6.9857
0.0000 0.0000 0.0000
0.0000 1.9808 3.4591
1.7154 0.9904 10.5123
1.7154 0.9904 5.7545
0.0000 1.9808 8.2169
```

Summary:
Polymorph energy (0 for the lowest one) in eV/atom: 0.003

---

[4]
Compound: HfZrSbC
Source: OQMD
Functional: GGA-PBE
Structure: relaxed

The structure in POSCAR format:
```
HfZrSbC
1.0
-3.0471 -1.4320 -0.6480
2.7555 -0.9389 -1.8115
2.7276 -10.0352 9.3503
Sb Hf Zr C
2 2 2 2
Cartesian
1.4988 -3.5961 0.8990
0.9284 -8.7781 5.9620
-0.8782 -2.1315 -0.2310
2.4198 -6.9847 4.0564
3.3100 -10.2598 7.1080
0.0120 -5.4066 2.8206
1.3722 -5.0484 4.7038
0.0084 -0.0308 0.0287
```

Summary:
Polymorph energy (0 for the lowest one) in eV/atom: 0.000

---

[5]
Compound: HfZrSbC
Source: OQMD
Functional: GGA-PBE
Structure: relaxed

The structure in POSCAR format:
```
HfZrSbC
1.0
-3.3046 0.3006 -0.8740
0.8646 -0.5673 3.2719
0.6683 13.7801 2.2126
Zr Hf C Sb
2 2 2 2
Cartesian
-0.4153 1.9870 2.2536
0.0333 11.2371 3.7388
-1.4726 9.1312 1.9723
-1.6889 4.6714 1.2562
0.4978 10.2639 1.6480
0.1705 3.5162 0.5646
-0.1910 6.6120 2.9962
-1.9149 0.0113 0.5080
```

Summary:
Polymorph energy (0 for the lowest one) in eV/atom: 0.000

---

[6]
Compound: HfZr3Sb2C2
Source: OQMD
Functional: GGA-PBE
Structure: relaxed

The structure in POSCAR format:
```
HfZr3Sb2C2
1.0
-2.8516 1.6817 0.9385
0.1563 -3.4241 0.3024
5.0884 1.3793 12.9896
C Zr Hf Sb
2 3 1 2
Cartesian
-0.8281 -1.7172 0.5610
1.6959 -1.0330 7.0042
2.7982 1.2395 12.5896
2.0959 0.5682 5.3505
1.1394 0.7898 8.3550
0.4386 0.1189 1.1195
3.8179 1.0349 9.7463
-0.5879 0.3216 3.9455
```

Summary:
Energy in eV/cell: -68.5

---

[7]
Compound: Hf2Sc4Si3C3
Source: OQMD
Functional: GGA-PBE
Structure: relaxed

The structure in POSCAR format:
```
Hf2Sc4Si3C3
1.0
5.7118 0.0000 0.0000
2.8558 4.9566 0.0000
2.8557 -1.5952 13.7677
Sc C Hf Si
8 6 4 6
Cartesian
3.3470 -0.8174 8.1963
6.1643 0.8575 8.1967
5.2590 2.5038 5.5711
5.2205 2.4586 1.3125
3.3083 -0.7721 12.4549
8.1149 4.1335 1.3128
6.2027 0.9028 12.4552
8.0763 4.1788 5.5714
4.2627 0.8661 6.8851
1.4278 -0.7976 6.8839
4.2628 0.8149 0.0000
1.4279 2.4783 0.0000
7.1605 2.4953 6.8826
4.3047 4.1418 0.0000
9.0584 2.5330 8.0354
9.0584 2.5092 12.6162
2.3648 0.8522 1.1515
2.3648 0.8284 5.7323
6.0315 4.4353 3.4343
6.5051 0.8403 3.4419
4.9182 2.5210 10.3258
8.2476 1.1594 10.3182
3.1757 2.2020 3.4495
5.3917 -1.0740 10.3334
```

Summary:
Energy in eV/cell: -194.3

---

[8]
Compound: Hf4Sc2Si3C3
Source: OQMD
Functional: GGA-PBE
Structure: relaxed

The structure in POSCAR format:
```
Hf4Sc2Si3C3
1.0
4.9390 -2.8641 0.0000
4.9390 2.8641 0.0000
-3.3093 0.0000 13.4936
Hf Sc C Si
8 4 6 6
Cartesian
5.7082 0.4658 7.9827
0.8605 -0.4658 5.5109
-0.8107 0.4807 7.9813
0.8440 -0.4807 1.2345
5.7248 0.4807 12.2591
-0.7941 0.4658 12.2577
7.3794 -0.4807 5.5123
7.3628 -0.4658 1.2359
4.1340 -0.4993 1.2926
2.4347 0.4993 12.2011
2.4794 0.4993 8.0393
4.0894 -0.4993 5.4542
5.7783 -1.4663 0.0048
4.1237 1.4663 6.7516
2.4450 -1.4663 6.7420
2.4695 -1.4320 0.0000
0.7904 1.4663 13.4888
0.8149 1.4320 6.7468
5.5901 0.6137 3.3814
2.4570 2.8368 10.1202
4.1117 -2.8368 3.3734
0.9787 -0.6137 10.1122
3.9354 -0.6137 10.1282
2.6333 0.6137 3.3654
```

Summary:
Energy in eV/cell: -210.7

---

[9]
Compound: Hf4Sc2Sn3C3
Source: OQMD
Functional: GGA-PBE
Structure: relaxed

The structure in POSCAR format:
```
Hf4Sc2Sn3C3
1.0
-2.6134 3.3029 -3.9954
-4.7948 2.9699 1.3758
10.6773 9.2713 4.9111
C Sc Hf Sn
6 4 8 6
Cartesian
4.0319 6.2871 0.4578
-2.5112 2.6853 -2.4630
-4.8970 3.5875 -0.1567
1.7088 7.1502 2.7469
1.5603 8.3940 -0.4555
-2.3974 1.4850 0.6879
3.1113 8.2563 1.2637
0.1578 7.2878 1.0278
-2.5830 3.5664 -0.3161
5.8521 11.9778 2.6075
-0.1344 1.4259 0.5836
-2.3172 9.4242 0.1930
0.6484 10.2872 0.3902
2.6207 5.2569 1.9012
-5.0453 5.5974 -1.1910
3.4035 14.1182 1.7079
5.5863 6.1199 2.0984
8.3144 9.9468 3.4824
5.2221 10.2301 0.1125
-1.9530 5.3141 2.1789
5.3591 8.9941 3.2657
-2.0900 6.5500 -0.9743
0.3899 4.4149 -0.0996
2.8792 11.1293 2.3910
```

Summary:
Energy in eV/cell: -202.9

---

[10]
Compound: HfScSnC
Source: OQMD
Functional: GGA-PBE
Structure: relaxed

The structure in POSCAR format:
```
HfScSnC
1.0
3.3558 0.0000 0.0000
-1.6779 2.9063 0.0000
0.0000 0.0000 14.6643
Sc C Sn Hf
2 2 2 2
Cartesian
0.0000 1.9375 1.2242
1.6779 0.9687 8.5564
0.0000 0.0000 14.6244
0.0000 0.0000 7.2923
0.0000 1.9375 11.0218
1.6779 0.9687 3.6897
1.6779 0.9687 13.4563
0.0000 1.9375 6.1241
```

Summary:
Polymorph energy (0 for the lowest one) in eV/atom: 0.000

---

[11]
Compound: HfScSnC
Source: OQMD
Functional: GGA-PBE
Structure: relaxed

The structure in POSCAR format:
```
HfScSnC
1.0
3.3562 0.0000 0.0000
-1.6781 2.9065 0.0000
0.0000 0.0000 14.6756
Hf Sc C Sn
2 2 2 2
Cartesian
1.6781 0.9689 9.7629
1.6781 0.9689 4.9128
0.0000 1.9377 12.1954
0.0000 1.9377 2.4802
0.0000 0.0000 10.9238
0.0000 0.0000 3.7518
0.0000 1.9377 7.3378
1.6781 0.9689 0.0000
```

Summary:
Polymorph energy (0 for the lowest one) in eV/atom: 0.007

---

[12]
Compound: HfScSnC
Source: OQMD
Functional: GGA-PBE
Structure: relaxed

The structure in POSCAR format:
```
HfScSnC
1.0
3.3623 0.0000 0.0000
-1.6812 2.9119 0.0000
0.0000 0.0000 14.6515
Sn C Sc Hf
2 2 2 2
Cartesian
1.6812 0.9706 3.6895
0.0000 1.9413 10.9619
0.0000 0.0000 7.3257
0.0000 0.0000 0.0000
1.6812 0.9706 13.4480
0.0000 1.9413 1.2035
0.0000 1.9413 6.1073
1.6812 0.9706 8.5442
```

Summary:
Polymorph energy (0 for the lowest one) in eV/atom: 0.027